[1]
Mn2TcAs: optimized geometry, GGA-PBE.

Lattice parameters (Å, degrees): 4.448 4.448 4.530 80.32 80.32 37.89
Atoms (fractional coordinates):
Mn 0.998 0.998 0.999
Mn 0.249 0.249 0.252
As 0.747 0.747 0.774
Tc 0.506 0.506 0.475

Computed properties:
- spin magnetization (μB/f.u.) = 4.2
- energy relative to the elements (meV per atom) = 84

***

[2]
MnTcAs: optimized geometry, GGA-PBE.

Lattice parameters (Å, degrees): 4.518 4.518 4.518 141.17 131.76 63.57
Atoms (fractional coordinates):
Tc 0.670 0.670 0.000
As 0.001 0.001 0.000
Mn 0.329 0.329 0.000

Computed properties:
- spin magnetization (μB/f.u.) = 2.2
- energy relative to the elements (meV per atom) = 122

***

[3]
MnTe2As: optimized geometry, GGA-PBE.

Lattice parameters (Å, degrees): 12.415 12.415 12.415 14.54 14.54 14.54
Atoms (fractional coordinates):
Te 0.072 0.072 0.072
Te 0.928 0.928 0.928
As 0.500 0.500 0.500
Mn 0.000 0.000 0.000

Computed properties:
- spin magnetization (μB/f.u.) = 3.9
- formation energy (no corrections) (eV/atom) = 0.63

***

[4]
Mn2TeAs: optimized geometry, GGA-PBE.

Lattice parameters (Å, degrees): 4.369 4.369 6.647 72.39 72.39 44.06
Atoms (fractional coordinates):
Mn 0.014 0.014 0.016
Mn 0.244 0.244 0.200
Te 0.482 0.482 0.384
As 0.760 0.760 0.900

Computed properties:
- spin magnetization (μB/f.u.) = 5.1
- formation energy (no corrections) (eV/atom) = 0.02

***

[5]
Mn2TeAs: optimized geometry, GGA-PBE.

Lattice parameters (Å, degrees): 5.570 5.570 5.570 138.50 138.50 60.14
Atoms (fractional coordinates):
Mn 0.000 0.000 0.000
Mn 0.250 0.750 0.500
Te 0.500 0.500 0.000
As 0.750 0.250 0.500

Computed properties:
- spin magnetization (μB/f.u.) = 7.6
- formation energy (no corrections) (eV/atom) = 0.30

***

[6]
Mn2TeAs: optimized geometry, GGA-PBE.

Lattice parameters (Å, degrees): 4.347 4.347 4.347 60.00 60.00 60.00
Atoms (fractional coordinates):
As 0.000 0.000 0.000
Te 0.500 0.500 0.500
Mn 0.250 0.250 0.250
Mn 0.750 0.750 0.750

Computed properties:
- spin magnetization (μB/f.u.) = 0.0
- formation energy (no corrections) (eV/atom) = 0.36

***

[7]
MnTe2As: optimized geometry, GGA-PBE.

Lattice parameters (Å, degrees): 7.242 7.242 7.175 38.04 38.04 29.99
Atoms (fractional coordinates):
Mn 0.291 0.291 0.043
Te 0.723 0.723 0.884
Te 0.894 0.894 0.130
As 0.591 0.591 0.442

Computed properties:
- spin magnetization (μB/f.u.) = 2.8
- formation energy (no corrections) (eV/atom) = -0.01

***

[8]
MnTe2As: optimized geometry, GGA-PBE.

Lattice parameters (Å, degrees): 9.472 9.472 9.472 20.85 20.85 20.85
Atoms (fractional coordinates):
Te 0.234 0.234 0.234
Te 0.029 0.029 0.029
Mn 0.759 0.759 0.759
As 0.478 0.478 0.478

Computed properties:
- spin magnetization (μB/f.u.) = 2.0
- formation energy (no corrections) (eV/atom) = 0.06